# TiRuBr2 (PBE-GGA, optimized geometry)
data_TiRuBr2
_cell_length_a 3.2271
_cell_length_b 3.2271
_cell_length_c 25.3468
_cell_angle_alpha 90.00
_cell_angle_beta 90.00
_cell_angle_gamma 120.00
_symmetry_space_group_name_H-M 'R -3 m'
_symmetry_Int_Tables_number 166
_symmetry_space_group_name_Hall '-R 3 2"'
loop_
_atom_site_label
_atom_site_fract_x
_atom_site_fract_y
_atom_site_fract_z
Ti1 0.0000 0.0000 0.0000
Ru1 0.0000 0.0000 0.5000
Br1 0.0000 0.0000 0.4041
# Formation energy (no corrections) (kJ/mol of formula units): 40
# M_tot (μB/cell): 0.00
# Electronic total energy (eV/atom): -5.0251
# Mass density (g/cm3): 6.728

# TiRu2Br (PBE-GGA, optimized geometry)
data_TiRu2Br
_cell_length_a 5.281
_cell_length_b 5.281
_cell_length_c 12.200
_cell_angle_alpha 90.00
_cell_angle_beta 90.00
_cell_angle_gamma 90.00
_symmetry_space_group_name_H-M 'I -4 2 d'
_symmetry_Int_Tables_number 122
_symmetry_space_group_name_Hall 'I -4 2bw'
loop_
_atom_site_label
_atom_site_fract_x
_atom_site_fract_y
_atom_site_fract_z
Ti1 0.000 0.000 0.000
Ru1 0.237 0.250 0.125
Br1 0.000 0.000 0.500
# Formation energy (no corrections) (kJ/mol of formula units): 294
# M_tot (μB/cell): 0.00
# Electronic total energy (eV/atom): -6.2680
# Mass density (g/cm3): 6.440

# TiRuBr2 (PBE-GGA, optimized geometry)
data_TiRuBr2
_cell_length_a 5.802
_cell_length_b 5.802
_cell_length_c 11.067
_cell_angle_alpha 90.00
_cell_angle_beta 90.00
_cell_angle_gamma 90.00
_symmetry_space_group_name_H-M 'I -4 2 d'
_symmetry_Int_Tables_number 122
_symmetry_space_group_name_Hall 'I -4 2bw'
loop_
_atom_site_label
_atom_site_fract_x
_atom_site_fract_y
_atom_site_fract_z
Ti1 0.000 0.000 0.000
Ru1 0.000 0.000 0.500
Br1 0.246 0.250 0.625
# Formation energy (no corrections) (kJ/mol of formula units): 185
# M_tot (μB/cell): 0.00
# Electronic total energy (eV/atom): -4.6493
# Mass density (g/cm3): 5.506

# TiRu2Br (PBE-GGA, optimized geometry)
data_TiRu2Br
_cell_length_a 6.305
_cell_length_b 6.305
_cell_length_c 6.305
_cell_angle_alpha 90.00
_cell_angle_beta 90.00
_cell_angle_gamma 90.00
_symmetry_space_group_name_H-M 'F m -3 m'
_symmetry_Int_Tables_number 225
_symmetry_space_group_name_Hall '-F 4 2 3'
loop_
_atom_site_label
_atom_site_fract_x
_atom_site_fract_y
_atom_site_fract_z
Ti1 0.000 0.000 0.000
Ru1 0.250 0.250 0.250
Br1 0.000 0.000 0.500
# Formation energy (no corrections) (kJ/mol of formula units): 197
# M_tot (μB/cell): 0.00
# Electronic total energy (eV/atom): -6.5206
# Mass density (g/cm3): 8.742

# TiRuBr2 (PBE-GGA, optimized geometry)
data_TiRuBr2
_cell_length_a 6.475
_cell_length_b 6.475
_cell_length_c 6.475
_cell_angle_alpha 90.00
_cell_angle_beta 90.00
_cell_angle_gamma 90.00
_symmetry_space_group_name_H-M 'F m -3 m'
_symmetry_Int_Tables_number 225
_symmetry_space_group_name_Hall '-F 4 2 3'
loop_
_atom_site_label
_atom_site_fract_x
_atom_site_fract_y
_atom_site_fract_z
Ti1 0.000 0.000 0.000
Ru1 0.000 0.000 0.500
Br1 0.250 0.250 0.250
# Formation energy (no corrections) (kJ/mol of formula units): 145
# M_tot (μB/cell): 0.00
# Electronic total energy (eV/atom): -4.7534
# Mass density (g/cm3): 7.554

# TiRuBr3 (PBE-GGA, optimized geometry)
data_TiRuBr3
_cell_length_a 5.088
_cell_length_b 5.088
_cell_length_c 5.088
_cell_angle_alpha 90.00
_cell_angle_beta 90.00
_cell_angle_gamma 90.00
_symmetry_space_group_name_H-M 'P m -3 m'
_symmetry_Int_Tables_number 221
_symmetry_space_group_name_Hall '-P 4 2 3'
loop_
_atom_site_label
_atom_site_fract_x
_atom_site_fract_y
_atom_site_fract_z
Ti1 0.000 0.000 0.000
Ru1 0.500 0.500 0.500
Br1 0.000 0.000 0.500
# Formation energy (no corrections) (kJ/mol of formula units): 198
# M_tot (μB/cell): 2.93
# Electronic total energy (eV/atom): -4.0283
# Mass density (g/cm3): 4.901

# YTiRuBr2 (PBE-GGA, optimized geometry)
data_YTiRuBr2
_cell_length_a 5.114
_cell_length_b 5.114
_cell_length_c 4.663
_cell_angle_alpha 90.00
_cell_angle_beta 90.00
_cell_angle_gamma 90.00
_symmetry_space_group_name_H-M 'P 4/m m m'
_symmetry_Int_Tables_number 123
_symmetry_space_group_name_Hall '-P 4 2'
loop_
_atom_site_label
_atom_site_fract_x
_atom_site_fract_y
_atom_site_fract_z
Y1 0.000 0.000 0.000
Ti1 0.500 0.500 0.000
Ru1 0.500 0.500 0.500
Br1 0.000 0.500 0.500
# Formation energy (no corrections) (kJ/mol of formula units): 130
# M_tot (μB/cell): 0.74
# Electronic total energy (eV/atom): -5.1268
# Mass density (g/cm3): 5.415

# TlRuBr2 (PBE-GGA, optimized geometry)
data_TlRuBr2
_cell_length_a 10.469
_cell_length_b 3.596
_cell_length_c 7.064
_cell_angle_alpha 90.00
_cell_angle_beta 114.42
_cell_angle_gamma 90.00
_symmetry_space_group_name_H-M 'C 1 m 1'
_symmetry_Int_Tables_number 8
loop_
_symmetry_equiv_pos_as_xyz
'x,y,z'
'x,-y,z'
'x+1/2,y+1/2,z'
'x+1/2,-y+1/2,z'
loop_
_atom_site_label
_atom_site_fract_x
_atom_site_fract_y
_atom_site_fract_z
Tl1 0.000 0.000 0.000
Ru1 0.231 0.500 0.000
Br1 0.166 0.000 0.720
Br2 0.322 0.000 0.279
# Formation energy (no corrections) (kJ/mol of formula units): -17
# M_tot (μB/cell): 0.83
# Electronic total energy (eV/atom): -3.7899
# Mass density (g/cm3): 6.382